This record from the Alexandria database describes crystalline Cs2SiAu2 at its relaxed geometry. The functional is GGA-PBE.

Results
Space group: No. 12

Structure (POSCAR):
```
Cs2SiAu2
1.0
-4.6244 -3.8530 3.2890
-2.6792 -6.4176 -4.1327
3.9012 -6.6840 4.8073
Cs Si Au
4 2 4
direct
0.6804 0.1874 0.4517 Cs
0.3196 0.8126 0.5483 Cs
0.1149 0.6744 0.0958 Cs
0.8851 0.3256 0.9042 Cs
0.3308 0.1483 0.1901 Si
0.6692 0.8517 0.8099 Si
0.1200 0.3530 0.4070 Au
0.8800 0.6470 0.5930 Au
0.4669 0.1644 0.9017 Au
0.5331 0.8356 0.0983 Au
```

---

This record from the Alexandria database describes crystalline Cs3SiAu at its relaxed geometry. The functional is GGA-PBE.

Results
Space group: No. 221

Structure (POSCAR):
```
Cs3SiAu
1.0
-3.3353 -2.5038 5.3085
-4.6306 -2.6292 -4.1495
3.6065 -5.6914 -0.4185
Cs Si Au
3 1 1
direct
0.0000 0.5000 0.0000 Cs
0.0000 0.0000 0.5000 Cs
0.5000 0.0000 0.0000 Cs
0.5000 0.5000 0.5000 Si
0.0000 0.0000 0.0000 Au
```

---

This record from the Alexandria database describes crystalline Cs3SiAu at its relaxed geometry. The functional is GGA-PBE.

Results
Space group: No. 12

Structure (POSCAR):
```
Cs3SiAu
1.0
-7.1106 -3.5732 -5.6063
0.7233 -5.5295 7.9788
-0.5331 7.9105 1.6685
Cs Si Au
6 2 2
direct
0.8199 0.0416 0.2606 Cs
0.2190 0.4407 0.2606 Cs
0.7810 0.5593 0.7394 Cs
0.6843 0.3999 0.0841 Cs
0.1801 0.9584 0.7394 Cs
0.3157 0.6001 0.9159 Cs
0.6217 0.0159 0.6376 Si
0.3783 0.9841 0.3624 Si
0.6891 0.7943 0.4834 Au
0.3109 0.2057 0.5166 Au
```

---

This record from the Alexandria database describes crystalline CsSiAu2 at its relaxed geometry. The functional is GGA-PBE.

Results
Space group: No. 14

Structure (POSCAR):
```
CsSiAu2
1.0
8.3173 1.6537 0.0000
2.7654 7.1068 0.0000
0.0000 0.0000 10.7060
Cs Si Au
4 4 8
direct
0.7143 0.6173 0.5515 Cs
0.2857 0.8827 0.0515 Cs
0.2857 0.3827 0.4485 Cs
0.7143 0.1173 0.9485 Cs
0.7946 0.0919 0.3830 Si
0.2054 0.4081 0.8830 Si
0.2054 0.9081 0.6170 Si
0.7946 0.5919 0.1170 Si
0.8668 0.0189 0.6009 Au
0.1332 0.4811 0.1009 Au
0.1332 0.9811 0.3991 Au
0.8668 0.5189 0.8991 Au
0.8492 0.8136 0.2508 Au
0.1508 0.6864 0.7508 Au
0.1508 0.1864 0.7492 Au
0.8492 0.3136 0.2492 Au
```

---

Number 1: uncorrected energy -0.106 hartree per atom, formation energy from raw total energies -0.1413 eV per atom, Fermi-level density of states 1.73 states/eV/f.u.. Number 2: uncorrected energy -0.072 hartree per atom, formation energy from raw total energies 0.2993 eV per atom, Fermi-level density of states 3.98 states/eV/f.u.. Number 3: uncorrected energy -0.082 hartree per atom, formation energy from raw total energies 0.0075 eV per atom, Fermi-level density of states 2.94 states/eV/f.u.. Number 4: uncorrected energy -0.124 hartree per atom, formation energy from raw total energies -0.1538 eV per atom, Fermi-level density of states 0.19 states/eV/f.u..